# SbAsBr PBE-GGA relaxed
data_SbAsBr
_chemical_formula_sum 'Sb2 As2 Br2'
_space_group_name_H-M_alt 'I 4 m m'
_space_group_IT_number 107
_space_group_name_Hall 'I 4 -2'
_cell_length_a 4.009
_cell_length_b 4.009
_cell_length_c 10.833
_cell_angle_alpha 90.00
_cell_angle_beta 90.00
_cell_angle_gamma 90.00
loop_
_atom_site_label
_atom_site_fract_x
_atom_site_fract_y
_atom_site_fract_z
Sb1 0.000 0.000 0.000
As1 0.000 0.000 0.470
Br1 0.000 0.000 0.745
# - calculated volume (Å³ per atom) = 29.0
# - E_form (uncorrected) (eV per atom) = 0.0732
# - Fermi-level density of states (states/eV/atom) = 0.549